Entry 1:
10
Lattice="3.945 -7.040 0.000 3.945 7.040 0.000 0.000 0.000 5.249" Properties=species:S:1:pos:R:3 comment="Th3ZnTc (PBE, optimized geometry)" formation_energy_mev_per_atom=48 dos_ef_per_ev_cell=7.77 pbc="T T T"
Th 1.973 3.520 2.625
Th 3.945 5.225 0.000
Th 2.453 0.000 2.625
Th 1.973 -3.520 2.625
Th 5.438 0.000 2.625
Th 3.945 -5.225 0.000
Zn 3.945 1.686 0.000
Zn 3.945 -1.686 0.000
Tc 3.945 5.429 2.625
Tc 3.945 -5.429 2.625

***

Entry 2:
3
Lattice="4.439 0.000 0.000 -2.219 3.844 0.000 0.000 0.000 3.729" Properties=species:S:1:pos:R:3 comment="ThZnTc (PBE, optimized geometry)" formation_energy_mev_per_atom=-11 dos_ef_per_ev_cell=3.07 pbc="T T T"
Th 0.000 0.000 0.000
Zn 0.000 2.563 1.865
Tc 2.219 1.281 1.865

***

Entry 3:
6
Lattice="4.376 0.000 0.000 1.529 5.127 0.000 0.211 1.924 5.903" Properties=species:S:1:pos:R:3 comment="ThZnTc (PBE, optimized geometry)" formation_energy_mev_per_atom=-82 dos_ef_per_ev_cell=4.74 pbc="T T T"
Th 1.219 2.074 1.920
Th 4.896 4.977 3.984
Zn 1.282 1.983 5.203
Zn 4.834 5.068 0.700
Tc 2.658 4.270 1.915
Tc 3.458 2.781 3.988

***

Entry 4:
8
Lattice="4.704 0.000 0.000 0.000 6.647 0.000 -1.592 0.000 4.916" Properties=species:S:1:pos:R:3 comment="ThZn2Tc (PBE, optimized geometry)" formation_energy_mev_per_atom=-188 dos_ef_per_ev_cell=6.61 pbc="T T T"
Th -0.034 1.662 0.735
Th 3.147 4.985 4.180
Zn 0.816 0.365 3.555
Zn 0.816 2.958 3.555
Zn 2.297 3.689 1.361
Zn 2.297 6.282 1.361
Tc -0.091 4.985 1.910
Tc 3.203 1.662 3.005

***

Entry 5:
5
Lattice="-2.166 2.989 4.169 2.166 -2.989 4.169 2.166 2.989 -4.169" Properties=species:S:1:pos:R:3 comment="Th2ZnTc2 (PBE, optimized geometry)" formation_energy_mev_per_atom=-141 dos_ef_per_ev_cell=5.08 pbc="T T T"
Th 0.000 0.000 1.736
Th 0.000 0.000 6.602
Zn 0.000 2.989 0.000
Tc 2.166 1.431 0.000
Tc 0.000 1.558 4.169

***

Entry 6:
14
Lattice="-2.263 4.784 6.048 2.263 -4.784 6.048 2.263 4.784 -6.048" Properties=species:S:1:pos:R:3 comment="Th3Zn9Tc2 (PBE, optimized geometry)" formation_energy_mev_per_atom=-198 dos_ef_per_ev_cell=9.08 pbc="T T T"
Th 0.000 0.000 0.000
Th 0.000 0.000 3.656
Th 0.000 0.000 8.439
Zn 2.263 -1.371 1.858
Zn 2.263 -2.091 4.532
Zn 2.263 1.371 1.858
Zn 0.000 2.693 1.516
Zn 0.000 4.784 0.000
Zn 2.263 2.091 4.532
Zn 0.000 3.414 4.189
Zn 0.000 6.875 1.516
Zn 0.000 6.155 4.189
Tc 2.263 3.271 0.000
Tc 0.000 1.513 6.048